Record 1
DFT (PBE-GGA) results for a relaxed structure of NpBAs.

E in eV/cell: -97.65
Spin magnetization in μB/atom: 0.179
E_form in eV per atom: -0.05

Geometry as CIF:
```
data_NpBAs
_cell_length_a 5.880
_cell_length_b 3.432
_cell_length_c 9.847
_cell_angle_alpha 90.00
_cell_angle_beta 106.95
_cell_angle_gamma 90.00
_space_group_name_H-M_alt 'C 1 2/m 1'
_space_group_IT_number 12
_space_group_name_Hall '-C 2y'
loop_
_atom_site_label
_atom_site_fract_x
_atom_site_fract_y
_atom_site_fract_z
Np1 0.212 0.000 0.411
B1 0.042 0.000 0.091
As1 0.249 0.500 0.172
```



Record 2
DFT (PBE-GGA) results for a relaxed structure of Ac2Sn3GeRh4.

E in eV/cell: -61.66
Spin magnetization in μB/atom: 0.000
E_form in eV per atom: -0.74

Geometry as CIF:
```
data_Ac2Sn3GeRh4
_cell_length_a 4.565
_cell_length_b 4.565
_cell_length_c 10.696
_cell_angle_alpha 90.00
_cell_angle_beta 90.00
_cell_angle_gamma 90.00
_space_group_name_H-M_alt 'P -4 m 2'
_space_group_IT_number 115
_space_group_name_Hall 'P -4 -2'
loop_
_atom_site_label
_atom_site_fract_x
_atom_site_fract_y
_atom_site_fract_z
Ac1 0.000 0.500 0.244
Sn1 0.000 0.000 0.000
Sn2 0.000 0.500 0.629
Ge1 0.500 0.500 0.000
Rh1 0.000 0.000 0.500
Rh2 0.000 0.500 0.878
Rh3 0.500 0.500 0.500
```



Record 3
DFT (PBE-GGA) results for a relaxed structure of CaNd3Pd8.

E in eV/cell: -200.65
Spin magnetization in μB/atom: 0.000
E_form in eV per atom: -0.75

Geometry as CIF:
```
data_CaNd3Pd8
_cell_length_a 5.5184
_cell_length_b 5.5184
_cell_length_c 26.9863
_cell_angle_alpha 90.00
_cell_angle_beta 90.00
_cell_angle_gamma 120.00
_space_group_name_H-M_alt 'R 3 m'
_space_group_IT_number 160
_space_group_name_Hall 'R 3 -2"'
loop_
_atom_site_label
_atom_site_fract_x
_atom_site_fract_y
_atom_site_fract_z
Ca1 0.0000 0.0000 0.0000
Nd1 0.0000 0.0000 0.1239
Nd2 0.0000 0.0000 0.5025
Nd3 0.0000 0.0000 0.6291
Pd1 0.0000 0.0000 0.3141
Pd2 0.0000 0.0000 0.8140
Pd3 0.0014 0.5007 0.0642
Pd4 0.1670 0.3341 0.8969
```



Record 4
DFT (PBE-GGA) results for a relaxed structure of TaGa2BiS.

E in eV/cell: -18.41
E_form (uncorrected) in eV/f.u.: 7.5
Spin magnetization in μB/atom: 0.671

Geometry as CIF:
```
data_TaGa2BiS
_cell_length_a 5.406
_cell_length_b 5.406
_cell_length_c 5.248
_cell_angle_alpha 90.00
_cell_angle_beta 90.00
_cell_angle_gamma 90.00
_space_group_name_H-M_alt 'P 4/m m m'
_space_group_IT_number 123
_space_group_name_Hall '-P 4 2'
loop_
_atom_site_label
_atom_site_fract_x
_atom_site_fract_y
_atom_site_fract_z
Ta1 0.000 0.000 0.000
Ga1 0.000 0.500 0.500
Bi1 0.500 0.500 0.500
S1 0.500 0.500 0.000
```



Record 5
DFT (PBE-GGA) results for a relaxed structure of Er9Fe10Ge10.

E in eV/cell: -375.57
Spin magnetization in μB/atom: 0.548
E_form in eV per atom: -0.55

Geometry as CIF:
```
data_Er9Fe10Ge10
_cell_length_a 5.337
_cell_length_b 13.308
_cell_length_c 14.049
_cell_angle_alpha 90.00
_cell_angle_beta 90.00
_cell_angle_gamma 90.00
_space_group_name_H-M_alt 'I m m m'
_space_group_IT_number 71
_space_group_name_Hall '-I 2 2'
loop_
_atom_site_label
_atom_site_fract_x
_atom_site_fract_y
_atom_site_fract_z
Er1 0.000 0.000 0.000
Er2 0.000 0.148 0.364
Er3 0.000 0.278 0.000
Er4 0.000 0.500 0.198
Fe1 0.000 0.500 0.405
Fe2 0.243 0.356 0.345
Ge1 0.000 0.000 0.208
Ge2 0.000 0.288 0.205
Ge3 0.000 0.330 0.500
Ge4 0.248 0.500 0.000
```



Record 6
DFT (PBE-GGA) results for a relaxed structure of NdSb3Au3.

E in eV/cell: -53.68
E_form (uncorrected) in eV/f.u.: 0.1
Spin magnetization in μB/atom: 0.000

Geometry as CIF:
```
data_NdSb3Au3
_cell_length_a 7.536
_cell_length_b 7.536
_cell_length_c 7.536
_cell_angle_alpha 90.00
_cell_angle_beta 90.00
_cell_angle_gamma 90.00
_space_group_name_H-M_alt 'P m -3 n'
_space_group_IT_number 223
_space_group_name_Hall '-P 4n 2 3'
loop_
_atom_site_label
_atom_site_fract_x
_atom_site_fract_y
_atom_site_fract_z
Nd1 0.000 0.000 0.000
Sb1 0.000 0.250 0.500
Au1 0.000 0.500 0.250
```



Record 7
DFT (PBE-GGA) results for a relaxed structure of Sr3Sb2F.

E in eV/cell: -98.87
E_form (uncorrected) in eV/f.u.: -9.6
Relative energy among the computed polymorphs in meV per atom: 106
Spin magnetization in μB/atom: 0.000

Geometry as CIF:
```
data_Sr3Sb2F
_cell_length_a 16.568
_cell_length_b 5.681
_cell_length_c 8.014
_cell_angle_alpha 90.00
_cell_angle_beta 90.11
_cell_angle_gamma 90.00
_space_group_name_H-M_alt 'C 1 2/c 1'
_space_group_IT_number 15
_space_group_name_Hall '-C 2yc'
loop_
_atom_site_label
_atom_site_fract_x
_atom_site_fract_y
_atom_site_fract_z
Sr1 0.000 0.039 0.250
Sr2 0.160 0.492 0.750
Sb1 0.159 0.000 0.001
F1 0.000 0.472 0.250
```



Record 8
DFT (PBE-GGA) results for a relaxed structure of CaMg3Pb3.

E in eV/cell: -31.82
Relative energy among the computed polymorphs in meV per atom: 395
Spin magnetization in μB/atom: 0.000
E_form in eV per atom: 0.29

Geometry as CIF:
```
data_CaMg3Pb3
_cell_length_a 7.982
_cell_length_b 7.982
_cell_length_c 7.982
_cell_angle_alpha 90.00
_cell_angle_beta 90.00
_cell_angle_gamma 90.00
_space_group_name_H-M_alt 'P m -3 n'
_space_group_IT_number 223
_space_group_name_Hall '-P 4n 2 3'
loop_
_atom_site_label
_atom_site_fract_x
_atom_site_fract_y
_atom_site_fract_z
Ca1 0.000 0.000 0.000
Mg1 0.000 0.250 0.500
Pb1 0.000 0.500 0.250
```